Density functional theory data (GGA-PBE) for crystalline MgBiPt2 at its relaxed geometry.

Geometry as POSCAR:
```
MgBiPt2
1.0
-2.439 -3.792 -1.495
-4.240 0.567 -2.065
-0.504 -0.816 -4.652
Pt Bi Mg
2 1 1
Cartesian
0.000 0.000 0.000
-5.388 -3.031 -6.159
-3.592 -2.021 -4.106
-1.796 -1.010 -2.053
```

Results
The calculated total energy is -18.52 eV for the cell shown. The value obtained for the calculated volume is 18.94 A^3/atom. Its symmetry is F-43m, No. 216. As for the total magnetization: 0.001 Bohr magnetons per cell.

---

Density functional theory data (GGA-PBE) for crystalline KAgGe at its relaxed geometry.

Geometry as POSCAR:
```
KAgGe
1.0
-4.908 -0.815 -0.225
-3.169 3.840 0.104
-2.545 1.240 -4.097
K Ag Ge
1 1 1
Cartesian
-7.966 3.198 -3.164
0.000 0.000 0.000
-2.655 1.066 -1.055
```

Results
The calculated total energy is -7.36 eV for the cell shown. The value obtained for the calculated volume is 29.11 A^3/atom. Its symmetry is F-43m, No. 216. The energy above the most stable polymorph in this dataset is 446 meV per atom.

---

Density functional theory data (GGA-PBE) for crystalline GdDyIn3Si2 at its relaxed geometry.

Geometry as POSCAR:
```
GdDyIn3Si2
1.0
5.342 -2.145 0.000
5.342 2.145 0.000
-1.224 0.000 6.891
Gd In Si Dy
1 3 2 1
Cartesian
3.841 0.000 1.164
2.462 0.000 4.481
-0.608 0.000 3.452
6.995 0.000 2.415
8.616 0.000 6.070
0.845 0.000 0.805
5.620 0.000 5.731
```

Results
The calculated total energy is -31.41 eV for the cell shown. The value obtained for the calculated volume is 22.56 A^3/atom. Its symmetry is Cm, No. 8. As for the total magnetization: 0.003 Bohr magnetons per cell.